# 1
This record from Alexandria via LeMat-Bulk describes a relaxed SbIr2Pt crystal. The functional is PBE.

abc: 4.7522 4.7522 4.4240
angles: 79.12 79.12 43.76
Last column: nearest neighbours and their distance in Å.
Element x y z (fractional)
Sb  0.7490  0.7490  0.7513  1 Pt 2.62, 5 Ir 2.64-2.86
Pt  0.5102  0.5102  0.4841  1 Sb 2.62, 5 Ir 2.71-2.81
Ir  0.2516  0.2516  0.2429  3 Ir 2.69-2.77, 3 Pt 2.71-2.81, 4 Sb 2.81-2.86
Ir  0.9892  0.9892  0.0217  3 Sb 2.64-2.95, 3 Ir 2.69-2.77, 4 Pt 2.74-2.94

Results
For the total energy, the calculation gives -27.13 eV/cell. Its symmetry is Cm. The formation energy without anion corrections comes out at 0.19 eV per atom.


# 2
This record from Alexandria via LeMat-Bulk describes a relaxed SnSbIr2Pt crystal. The functional is PBE.

abc: 4.8992 4.9833 4.8992
angles: 90.00 90.00 90.00
Last column: nearest neighbours and their distance in Å.
Element x y z (fractional)
Ir  0.5000  0.0000  0.0000  2 Sb 2.45
Ir  0.0000  0.0000  0.5000  2 Sb 2.45
Pt  0.0000  0.5000  0.0000  2 Sb 2.49
Sn  0.5000  0.5000  0.5000  4 Pt 3.46, 8 Ir 3.49
Sb  0.0000  0.0000  0.0000  4 Ir 2.45, 2 Pt 2.49

Results
For the total energy, the calculation gives -26.47 eV/cell. Its symmetry is P4/mmm. The formation energy without anion corrections comes out at 1.08 eV per atom.


# 3
This record from Alexandria via LeMat-Bulk describes a relaxed Sr2Sb4IrPt3 crystal. The functional is PBE.

abc: 4.7215 4.7215 10.6198
angles: 90.00 90.00 90.00
Last column: nearest neighbours and their distance in Å.
Element x y z (fractional)
Sb  0.5000  0.5000  0.0000  4 Pt 2.72
Sb  0.5000  0.0000  0.6224  3 Pt 2.65-2.70, 2 Ir 2.70
Sb  0.0000  0.0000  0.0000  4 Pt 2.72
Sb  0.0000  0.5000  0.3776  3 Pt 2.65-2.70, 2 Ir 2.70
Pt  0.0000  0.0000  0.5000  4 Sb 2.70
Pt  0.0000  0.5000  0.1278  5 Sb 2.65-2.72
Pt  0.5000  0.0000  0.8722  5 Sb 2.65-2.72
Sr  0.0000  0.5000  0.7421  2 Ir 3.49, 6 Pt 3.49-3.61, 9 Sb 3.57-3.87
Sr  0.5000  0.0000  0.2579  2 Ir 3.49, 6 Pt 3.49-3.61, 9 Sb 3.57-3.87
Ir  0.5000  0.5000  0.5000  4 Sb 2.70

Results
For the total energy, the calculation gives -53.72 eV/cell. Its symmetry is P-4m2. The formation energy without anion corrections comes out at -0.69 eV per atom.